[1]
Compound: Ba3Ca2Si2N6
Source: Alexandria
Functional: GGA-PBEsol
Structure: relaxed

a = 6.062 Å, b = 6.062 Å, c = 13.280 Å
α = 80.36°, β = 80.36°, γ = 68.37°
Fractional positions:
N: 0.984 0.891 0.870
Si: 0.631 0.928 0.420
Ba: 0.796 0.322 0.508
Ba: 0.322 0.796 0.008
Ba: 0.204 0.678 0.492
N: 0.377 0.199 0.446
N: 0.623 0.801 0.554
N: 0.891 0.984 0.370
N: 0.016 0.109 0.130
Ba: 0.402 0.598 0.750
Ba: 0.678 0.204 0.992
N: 0.801 0.623 0.054
Si: 0.072 0.369 0.080
N: 0.199 0.377 0.946
N: 0.109 0.016 0.630
Ba: 0.598 0.402 0.250
Ca: 0.908 0.788 0.218
N: 0.229 0.437 0.162
Si: 0.369 0.072 0.580
Ca: 0.212 0.092 0.282
N: 0.437 0.229 0.662
Ca: 0.092 0.212 0.782
N: 0.563 0.771 0.338
Ca: 0.788 0.908 0.718
N: 0.771 0.563 0.838
Si: 0.928 0.631 0.920

Values from the calculation:
- formation energy from raw total energies (eV per atom) = -1.148
- theoretical density (Mg/m³) = 4.73
- symmetry = C2/c, No. 15

[2]
Compound: ScCuSn3
Source: Alexandria
Functional: GGA-PBEsol
Structure: relaxed

a = 4.981 Å, b = 4.981 Å, c = 4.981 Å
α = 90.00°, β = 90.00°, γ = 90.00°
Fractional positions:
Sn: 0.000 0.000 0.500
Sc: 0.500 0.500 0.500
Sn: 0.000 0.500 0.000
Cu: 0.000 0.000 0.000
Sn: 0.500 0.000 0.000

Values from the calculation:
- energy of formation from the pure elements (eV/atom) = 0.19
- theoretical density (Mg/m³) = 6.24
- symmetry = Pm-3m, No. 221

[3]
Compound: Bi3O4F
Source: Alexandria
Functional: GGA-PBEsol
Structure: relaxed

a = 5.557 Å, b = 5.554 Å, c = 8.591 Å
α = 90.00°, β = 101.47°, γ = 90.00°
Fractional positions:
F: 0.250 0.656 0.000
Bi: 0.643 0.740 0.194
O: 0.950 0.006 0.324
Bi: 0.750 0.240 0.500
O: 0.450 0.495 0.326
Bi: 0.143 0.260 0.194
Bi: 0.857 0.740 0.806
Bi: 0.250 0.760 0.500
O: 0.950 0.505 0.326
O: 0.550 0.505 0.674
O: 0.050 0.994 0.676
Bi: 0.357 0.260 0.806
O: 0.050 0.495 0.674
O: 0.550 0.006 0.676
O: 0.450 0.994 0.324
F: 0.750 0.344 0.000

Values from the calculation:
- formation energy from raw total energies (eV per atom) = -1.442
- theoretical density (Mg/m³) = 9.07
- symmetry = P2/c, No. 13

[4]
Compound: Te2PPtI
Source: Alexandria
Functional: GGA-PBEsol
Structure: relaxed

a = 5.128 Å, b = 5.088 Å, c = 5.088 Å
α = 90.00°, β = 90.00°, γ = 90.00°
Fractional positions:
I: 0.500 0.000 0.000
Pt: 0.500 0.500 0.500
P: 0.000 0.000 0.000
Te: 0.000 0.500 0.000
Te: 0.000 0.000 0.500

Values from the calculation:
- formation energy from raw total energies (eV per atom) = 1.017
- theoretical density (Mg/m³) = 7.61
- symmetry = P4/mmm, No. 123

[5]
Compound: LaNOF2
Source: Alexandria
Functional: GGA-PBEsol
Structure: relaxed

a = 3.432 Å, b = 4.121 Å, c = 4.121 Å
α = 90.00°, β = 90.00°, γ = 90.00°
Each line ends with the local moment (μB).
Fractional positions:
F: 0.000 0.500 0.000  0.11
F: 0.000 0.000 0.500  0.11
O: 0.000 0.000 0.000  0.90
N: 0.500 0.000 0.000  0.20
La: 0.500 0.500 0.500  0.06

Values from the calculation:
- formation energy from raw total energies (eV per atom) = -1.030
- theoretical density (Mg/m³) = 5.89
- symmetry = P4/mmm, No. 123

[6]
Compound: LaW11O33
Source: Alexandria
Functional: GGA-PBEsol
Structure: relaxed

a = 8.554 Å, b = 8.553 Å, c = 9.365 Å
α = 90.00°, β = 100.50°, γ = 113.58°
Fractional positions:
O: 0.810 0.721 0.133
O: 0.632 0.456 0.266
W: 0.315 0.730 0.140
O: 0.273 0.909 0.045
O: 0.765 0.411 0.044
O: 0.368 0.544 0.734
O: 0.727 0.091 0.955
O: 0.546 0.818 0.591
O: 0.454 0.182 0.409
W: 0.403 0.358 0.323
O: 0.634 0.456 0.779
O: 0.366 0.544 0.221
O: 0.954 0.681 0.409
W: 0.866 0.542 0.233
O: 0.273 0.910 0.545
O: 0.727 0.090 0.455
O: 0.181 0.272 0.364
W: 0.049 0.821 0.588
O: 0.090 0.636 0.182
W: 0.134 0.458 0.767
W: 0.223 0.085 0.951
O: 0.235 0.589 0.956
W: 0.951 0.179 0.412
O: 0.456 0.190 0.911
O: 0.137 0.955 0.772
W: 0.500 0.000 0.500
La: 0.500 0.500 0.000
O: 0.409 0.863 0.318
O: 0.908 0.363 0.318
O: 0.000 0.000 0.000
O: 0.190 0.279 0.867
O: 0.819 0.728 0.636
O: 0.591 0.137 0.682
W: 0.685 0.270 0.860
O: 0.910 0.364 0.818
O: 0.092 0.637 0.682
W: 0.777 0.915 0.049
W: 0.597 0.642 0.677
O: 0.677 0.766 0.867
O: 0.323 0.234 0.133
O: 0.500 0.500 0.500
O: 0.863 0.045 0.228
O: 0.544 0.810 0.089
O: 0.046 0.319 0.591
O: 0.000 0.000 0.500

Values from the calculation:
- formation energy from raw total energies (eV per atom) = -2.255
- theoretical density (Mg/m³) = 7.26
- symmetry = P-1, No. 2

[7]
Compound: Y2NiTe2
Source: Alexandria
Functional: GGA-PBEsol
Structure: relaxed

a = 4.142 Å, b = 4.142 Å, c = 8.355 Å
α = 104.35°, β = 104.35°, γ = 90.00°
Fractional positions:
Te: 0.750 0.250 0.500
Y: 0.400 0.400 0.801
Y: 0.600 0.600 0.199
Te: 0.250 0.750 0.500
Ni: 0.000 0.000 0.000

Values from the calculation:
- formation energy from raw total energies (eV per atom) = -0.063
- theoretical density (Mg/m³) = 6.08
- symmetry = I4/mmm, No. 139

[8]
Compound: AgPb2Cl
Source: Alexandria
Functional: GGA-PBEsol
Structure: relaxed

a = 3.220 Å, b = 5.448 Å, c = 5.448 Å
α = 90.11°, β = 90.00°, γ = 90.00°
Fractional positions:
Pb: 0.000 0.000 0.500
Ag: 0.500 0.000 0.000
Cl: 0.500 0.500 0.500
Pb: 0.000 0.500 0.000

Values from the calculation:
- formation energy from raw total energies (eV per atom) = -0.149
- theoretical density (Mg/m³) = 9.69
- symmetry = Cmmm, No. 65

[9]
Compound: EuZnGe
Source: Alexandria
Functional: GGA-PBEsol
Structure: relaxed

a = 4.424 Å, b = 5.816 Å, c = 5.816 Å
α = 80.16°, β = 67.65°, γ = 67.65°
Each line ends with the local moment (μB).
Fractional positions:
Ge: 0.250 0.412 0.088  -0.02
Zn: 0.250 0.078 0.422  0.02
Eu: 0.500 0.500 0.500  6.76
Ge: 0.750 0.588 0.912  -0.02
Zn: 0.750 0.922 0.578  0.02
Eu: 0.000 0.000 0.000  6.76

Values from the calculation:
- energy of formation from the pure elements (eV/atom) = -0.50
- theoretical density (Mg/m³) = 7.53
- symmetry = Imma, No. 74

[10]
Compound: LaMnSi
Source: Alexandria
Functional: GGA-PBEsol
Structure: relaxed

a = 4.807 Å, b = 4.807 Å, c = 4.807 Å
α = 60.00°, β = 60.00°, γ = 60.00°
Each line ends with the local moment (μB).
Fractional positions:
Si: 0.500 0.500 0.500  -0.03
Mn: 0.000 0.000 0.000  -4.01
La: 0.250 0.250 0.250  -0.06

Values from the calculation:
- formation energy from raw total energies (eV per atom) = 0.763
- theoretical density (Mg/m³) = 4.69
- symmetry = F-43m, No. 216

[11]
Compound: Na2B2S5
Source: Alexandria
Functional: GGA-PBEsol
Structure: relaxed

a = 7.375 Å, b = 8.167 Å, c = 12.484 Å
α = 90.00°, β = 90.00°, γ = 90.00°
Fractional positions:
S: 0.250 0.759 0.730
S: 0.250 0.741 0.230
B: 0.750 0.403 0.877
S: 0.250 0.424 0.492
S: 0.750 0.241 0.270
S: 0.750 0.563 0.095
S: 0.750 0.339 0.016
S: 0.750 0.877 0.351
S: 0.750 0.937 0.595
B: 0.250 0.291 0.014
S: 0.750 0.924 0.008
B: 0.250 0.903 0.623
S: 0.750 0.259 0.770
B: 0.750 0.709 0.986
Na: 0.004 0.493 0.666
B: 0.750 0.791 0.486
S: 0.750 0.623 0.851
S: 0.250 0.123 0.649
B: 0.750 0.097 0.377
B: 0.250 0.597 0.123
Na: 0.004 0.007 0.166
S: 0.250 0.839 0.484
Na: 0.504 0.993 0.834
S: 0.250 0.661 0.984
Na: 0.504 0.507 0.334
S: 0.250 0.063 0.405
S: 0.750 0.161 0.516
Na: 0.496 0.007 0.166
Na: 0.496 0.493 0.666
S: 0.750 0.576 0.508
Na: 0.996 0.507 0.334
S: 0.250 0.076 0.992
B: 0.250 0.209 0.514
Na: 0.996 0.993 0.834
S: 0.250 0.377 0.149
S: 0.250 0.437 0.905

Values from the calculation:
- formation energy from raw total energies (eV per atom) = -0.690
- theoretical density (Mg/m³) = 2.01
- symmetry = Pnma, No. 62

[12]
Compound: H24PdC8N2Cl4
Source: Alexandria
Functional: GGA-PBEsol
Structure: relaxed

a = 8.670 Å, b = 8.670 Å, c = 11.314 Å
α = 90.00°, β = 90.00°, γ = 90.00°
Each line ends with the local moment (μB).
Fractional positions:
H: 0.416 0.156 0.877  0.00
H: 0.409 0.775 0.731  0.00
H: 0.538 0.837 0.385  0.00
C: 0.372 0.057 0.174  0.00
C: 0.557 0.128 0.674  0.00
H: 0.163 0.462 0.615  0.00
H: 0.409 0.775 0.269  0.00
C: 0.128 0.557 0.674  0.00
C: 0.943 0.628 0.174  0.00
H: 0.656 0.084 0.623  0.00
Cl: 0.500 0.500 0.201  0.02
H: 0.775 0.409 0.731  0.00
N: 0.500 0.000 0.250  0.00
Cl: 0.000 0.000 0.299  0.02
H: 0.837 0.538 0.615  0.00
C: 0.128 0.557 0.326  0.00
Cl: 0.500 0.500 0.799  0.02
N: 0.500 0.000 0.750  0.00
H: 0.337 0.962 0.115  0.00
H: 0.663 0.038 0.115  0.00
Pd: 0.000 0.000 0.500  0.09
H: 0.462 0.163 0.385  0.00
N: 0.000 0.500 0.750  0.00
H: 0.663 0.038 0.885  0.00
H: 0.084 0.656 0.623  0.00
H: 0.584 0.844 0.877  0.00
H: 0.344 0.916 0.623  0.00
H: 0.091 0.275 0.231  0.00
Cl: 0.312 0.688 0.000  0.00
H: 0.844 0.584 0.877  0.00
C: 0.057 0.372 0.826  0.00
C: 0.872 0.443 0.326  0.00
H: 0.909 0.725 0.231  0.00
H: 0.344 0.916 0.377  0.00
H: 0.275 0.091 0.769  0.00
H: 0.538 0.837 0.615  0.00
H: 0.091 0.275 0.769  0.00
H: 0.225 0.591 0.269  0.00
C: 0.872 0.443 0.674  0.00
C: 0.443 0.872 0.674  0.00
Cl: 0.188 0.188 0.500  0.00
H: 0.962 0.337 0.885  0.00
C: 0.057 0.372 0.174  0.00
H: 0.837 0.538 0.385  0.00
H: 0.163 0.462 0.385  0.00
C: 0.628 0.943 0.174  0.00
Pd: 0.500 0.500 0.000  0.09
H: 0.225 0.591 0.731  0.00
H: 0.038 0.663 0.115  0.00
H: 0.038 0.663 0.885  0.00
Cl: 0.688 0.312 0.000  0.00
C: 0.628 0.943 0.826  0.00
H: 0.584 0.844 0.123  0.00
H: 0.591 0.225 0.731  0.00
C: 0.443 0.872 0.326  0.00
Cl: 0.812 0.812 0.500  0.00
H: 0.909 0.725 0.769  0.00
H: 0.156 0.416 0.877  0.00
H: 0.591 0.225 0.269  0.00
H: 0.337 0.962 0.885  0.00
H: 0.275 0.091 0.231  0.00
H: 0.416 0.156 0.123  0.00
H: 0.844 0.584 0.123  0.00
C: 0.557 0.128 0.326  0.00
Cl: 0.000 0.000 0.701  0.02
H: 0.916 0.344 0.623  0.00
H: 0.084 0.656 0.377  0.00
C: 0.372 0.057 0.826  0.00
H: 0.656 0.084 0.377  0.00
H: 0.916 0.344 0.377  0.00
H: 0.156 0.416 0.123  0.00
H: 0.725 0.909 0.769  0.00
N: 0.000 0.500 0.250  0.00
H: 0.775 0.409 0.269  0.00
H: 0.962 0.337 0.115  0.00
C: 0.943 0.628 0.826  0.00
H: 0.725 0.909 0.231  0.00
H: 0.462 0.163 0.615  0.00

Values from the calculation:
- total energy (eV per atom) = -5.0718
- theoretical density (Mg/m³) = 1.55
- symmetry = P4_2/mnm, No. 136

[13]
Compound: LiAlRe2
Source: Alexandria
Functional: GGA-PBEsol
Structure: relaxed

a = 2.580 Å, b = 4.201 Å, c = 5.166 Å
α = 90.00°, β = 90.00°, γ = 90.00°
Fractional positions:
Re: 0.000 0.000 0.744
Li: 0.500 0.500 0.500
Re: 0.000 0.000 0.256
Al: 0.500 0.500 0.000

Values from the calculation:
- energy of formation from the pure elements (eV/atom) = 0.22
- theoretical density (Mg/m³) = 12.05
- symmetry = Pmmm, No. 47

[14]
Compound: ScBH3
Source: Alexandria
Functional: GGA-PBEsol
Structure: relaxed

a = 3.150 Å, b = 3.150 Å, c = 3.150 Å
α = 90.00°, β = 90.00°, γ = 90.00°
Fractional positions:
Sc: 0.500 0.500 0.500
H: 0.500 0.000 0.000
B: 0.000 0.000 0.000
H: 0.000 0.500 0.000
H: 0.000 0.000 0.500

Values from the calculation:
- total energy (eV per atom) = -4.6011
- theoretical density (Mg/m³) = 3.12
- symmetry = Pm-3m, No. 221

[15]
Compound: Sr3Sn3Au8
Source: Alexandria
Functional: GGA-PBEsol
Structure: relaxed

a = 4.614 Å, b = 8.908 Å, c = 8.864 Å
α = 66.23°, β = 74.91°, γ = 74.99°
Fractional positions:
Sn: 0.327 0.023 0.323
Au: 0.122 0.606 0.150
Au: 0.653 0.722 0.972
Sr: 0.700 0.334 0.267
Sn: 0.000 0.500 0.500
Au: 0.878 0.394 0.850
Sn: 0.673 0.977 0.677
Au: 0.134 0.156 0.576
Sr: 0.300 0.666 0.733
Au: 0.506 0.302 0.686
Au: 0.347 0.278 0.028
Sr: 0.000 0.000 0.000
Au: 0.494 0.698 0.314
Au: 0.866 0.844 0.424

Values from the calculation:
- energy of formation from the pure elements (eV/atom) = -0.56
- theoretical density (Mg/m³) = 11.50
- symmetry = C2/m, No. 12

[16]
Compound: TaSeBr2
Source: Alexandria
Functional: GGA-PBEsol
Structure: relaxed

a = 4.929 Å, b = 7.012 Å, c = 7.012 Å
α = 82.90°, β = 69.42°, γ = 69.42°
Each line ends with the local moment (μB).
Fractional positions:
Se: 0.500 0.000 0.000  -0.05
Br: 0.757 0.868 0.368  0.00
Br: 0.375 0.632 0.868  0.00
Br: 0.875 0.368 0.132  0.00
Ta: 0.750 0.500 0.500  0.74
Ta: 0.000 0.000 0.000  0.74
Br: 0.993 0.132 0.632  0.00
Se: 0.250 0.500 0.500  -0.05

Values from the calculation:
- formation energy from raw total energies (eV per atom) = -0.342
- theoretical density (Mg/m³) = 6.56
- symmetry = I-42d, No. 122

[17]
Compound: K2SiAs
Source: Alexandria
Functional: GGA-PBEsol
Structure: relaxed

a = 3.759 Å, b = 5.463 Å, c = 6.386 Å
α = 115.32°, β = 107.12°, γ = 90.00°
Fractional positions:
K: 0.777 0.277 0.554
As: 0.194 0.694 0.388
Si: 0.557 0.557 0.115
K: 0.972 0.972 0.944

Values from the calculation:
- formation energy from raw total energies (eV per atom) = -0.219
- theoretical density (Mg/m³) = 2.68
- symmetry = Imm2, No. 44

Number 1: M_tot 0.0 μB/f.u.. Number 2: M_tot 0.0 μB/f.u.. Number 3: M_tot 0.0 μB/f.u.. Number 4: M_tot 0.0 μB/f.u.. Number 5: M_tot 1.6 μB/f.u.. Number 6: M_tot 0.0 μB/f.u.. Number 7: M_tot 0.0 μB/f.u.. Number 8: M_tot 0.0 μB/f.u.. Number 9: M_tot 7.1 μB/f.u.. Number 10: M_tot 4.5 μB/f.u.. Number 11: M_tot 0.0 μB/f.u.. Number 12: M_tot 0.1 μB/f.u.. Number 13: M_tot 0.0 μB/f.u.. Number 14: M_tot 0.0 μB/f.u.. Number 15: M_tot 0.0 μB/f.u.. Number 16: M_tot 1.0 μB/f.u.. Number 17: M_tot 0.0 μB/f.u..